Material: BPb7Br3O7
Method: DFT, PBE
State: relaxed

Values from the calculation:
E_tot   -5.338 eV per atom

a = 16.856 Å, b = 9.047 Å, c = 21.989 Å
α = 90.00°, β = 97.87°, γ = 90.00°
Space group C2/c (No. 15)
Inequivalent atoms, fractional coordinates:
B (0.217, 0.004, 0.214) [8 per cell]
Pb (0.032, 0.153, 0.449) [8 per cell]
Pb (0.037, 0.241, 0.614) [8 per cell]
Pb (0.110, 0.462, 0.015) [8 per cell]
Pb (0.113, 0.370, 0.180) [8 per cell]
Pb (0.147, 0.229, 0.784) [8 per cell]
Pb (0.186, 0.067, 0.078) [8 per cell]
Pb (0.235, 0.169, 0.356) [8 per cell]
Br (0.000, 0.007, 0.250) [4 per cell]
Br (0.071, 0.460, 0.345) [8 per cell]
Br (0.169, 0.141, 0.916) [8 per cell]
Br (0.250, 0.250, 0.500) [4 per cell]
O (0.014, 0.348, 0.519) [8 per cell]
O (0.064, 0.044, 0.551) [8 per cell]
O (0.100, 0.263, 0.087) [8 per cell]
O (0.141, 0.423, 0.622) [8 per cell]
O (0.191, 0.113, 0.675) [8 per cell]
O (0.228, 0.143, 0.190) [8 per cell]
O (0.230, 0.024, 0.777) [8 per cell]

Material: RbInO2
Method: DFT, PBE
State: relaxed

Values from the calculation:
E_tot   -4.890 eV per atom

a = 6.101 Å, b = 8.924 Å, c = 6.051 Å
α = 90.00°, β = 90.00°, γ = 90.00°
Space group Pna2_1 (No. 33)
Inequivalent atoms, fractional coordinates:
Rb (0.029, 0.124, 0.000) [4 per cell]
In (0.043, 0.625, 0.980) [4 per cell]
O (0.018, 0.576, 0.642) [4 per cell]
O (0.128, 0.178, 0.543) [4 per cell]

Material: Ca2TbCd
Method: DFT, PBE
State: relaxed

Values from the calculation:
Energy of formation   -21.0 kJ/mol of formula units
E_tot   -2.441 eV per atom
Relative energy among the computed polymorphs   0 meV/atom

a = 4.128 Å, b = 4.128 Å, c = 7.518 Å
α = 90.00°, β = 90.00°, γ = 90.00°
Space group P4/mmm (No. 123)
Inequivalent atoms, fractional coordinates:
Ca (0.000, 0.000, 0.230) [2 per cell]
Tb (0.500, 0.500, 0.500) [1 per cell]
Cd (0.500, 0.500, 0.000) [1 per cell]

Material: TlGeCl2F
Method: DFT, PBE
State: relaxed

Values from the calculation:
E_tot   -3.750 eV per atom

a = 5.408 Å, b = 5.408 Å, c = 4.298 Å
α = 90.00°, β = 90.00°, γ = 90.00°
Space group P4/mmm (No. 123)
Inequivalent atoms, fractional coordinates:
Tl (0.000, 0.000, 0.000) [1 per cell]
Ge (0.500, 0.500, 0.500) [1 per cell]
Cl (0.000, 0.500, 0.500) [2 per cell]
F (0.500, 0.500, 0.000) [1 per cell]

Material: TlFe2Pt
Method: DFT, PBE
State: relaxed

Values from the calculation:
Energy of formation   201.9 kJ/mol of formula units
E_tot   -5.810 eV per atom
Relative energy among the computed polymorphs   334 meV/atom

a = 3.885 Å, b = 3.885 Å, c = 18.682 Å
α = 90.00°, β = 90.00°, γ = 90.00°
Space group I-42d (No. 122)
Inequivalent atoms, fractional coordinates:
Tl (0.000, 0.000, 0.000) [4 per cell]
Fe (0.204, 0.250, 0.625) [8 per cell]
Pt (0.000, 0.000, 0.500) [4 per cell]

Material: Cu2AuC
Method: DFT, PBE
State: relaxed

Values from the calculation:
Energy of formation   316.6 kJ/mol of formula units
E_tot   -4.353 eV per atom

a = 6.284 Å, b = 6.284 Å, c = 5.283 Å
α = 90.00°, β = 90.00°, γ = 90.00°
Space group I-42d (No. 122)
Inequivalent atoms, fractional coordinates:
Cu (0.147, 0.250, 0.125) [8 per cell]
Au (0.000, 0.000, 0.500) [4 per cell]
C (0.000, 0.000, 0.000) [4 per cell]